## TaSiTc2 (PBE-GGA)

Data for TaSiTc2 after structural relaxation.

a = 3.2741 Å, b = 3.2741 Å, c = 5.6958 Å
α = 90.00°, β = 90.00°, γ = 90.00°
Space group P4mm (No. 99)
Symmetry-distinct sites (fractional):
Ta 0.0000 0.0000 0.0000 x1
Si 0.5000 0.5000 0.7238 x1
Tc 0.0000 0.0000 0.5437 x1
Tc 0.5000 0.5000 0.2161 x1

raw total energy	-38.957	eV per cell